Record 1
Density functional theory data (PBE-GGA) for crystalline CaPr6Sc at its relaxed geometry.

## Properties
The calculation puts the formation enthalpy at 0 K at 4 kJ/mol of atoms. Its space-group type is P4/mmm, No. 123.

Cell: 5.170 5.170 10.394 Å, 90.00 90.00 90.00°
Positions (direct):
Ca1 0.000 0.000 0.000
Pr1 0.000 0.500 0.261
Pr2 0.000 0.500 0.739
Pr3 0.500 0.000 0.261
Pr4 0.500 0.000 0.739
Pr5 0.500 0.500 0.000
Pr6 0.500 0.500 0.500
Sc1 0.000 0.000 0.500

=====

Record 2
Density functional theory data (PBE-GGA) for crystalline Ca2Pr6Sc at its relaxed geometry.

## Properties
The calculation puts the formation enthalpy at 0 K at 12 kJ/mol of atoms. Its space-group type is P-1, No. 2.

Cell: 7.375 8.676 11.657 Å, 72.17 72.64 72.55°
Positions (direct):
Ca1 0.098 0.197 0.493
Ca2 0.148 0.530 0.756
Ca3 0.852 0.470 0.244
Ca4 0.902 0.803 0.507
Pr1 0.114 0.776 0.008
Pr2 0.148 0.014 0.214
Pr3 0.311 0.563 0.280
Pr4 0.368 0.348 0.037
Pr5 0.409 0.860 0.706
Pr6 0.462 0.741 0.443
Pr7 0.538 0.259 0.557
Pr8 0.591 0.140 0.294
Pr9 0.632 0.652 0.963
Pr10 0.689 0.437 0.720
Pr11 0.852 0.986 0.786
Pr12 0.886 0.224 0.992
Sc1 0.376 0.087 0.891
Sc2 0.624 0.913 0.109

=====

Record 3
Density functional theory data (PBE-GGA) for crystalline CaPrSmSc at its relaxed geometry.

## Properties
The calculation puts the formation enthalpy at 0 K at 13 kJ/mol of atoms. Its space-group type is F-43m, No. 216.

Cell: 5.712 5.712 5.712 Å, 60.00 60.00 60.00°
Positions (direct):
Ca1 0.000 0.000 0.000
Pr1 0.750 0.750 0.750
Sm1 0.250 0.250 0.250
Sc1 0.500 0.500 0.500

=====

Record 4
Density functional theory data (PBE-GGA) for crystalline Ca2PrScTe4 at its relaxed geometry.

## Properties
Its space-group type is P2/m, No. 10. Its uncorrected formation energy is -1.42 eV per atom.

Cell: 7.623 4.394 7.772 Å, 90.00 109.05 90.00°
Positions (direct):
Ca1 0.000 0.000 0.000
Ca2 0.500 0.500 0.000
Pr1 0.000 0.500 0.500
Sc1 0.500 0.000 0.500
Te1 0.263 0.000 0.749
Te2 0.267 0.500 0.260
Te3 0.733 0.500 0.740
Te4 0.737 0.000 0.251

=====

Record 5
Density functional theory data (PBE-GGA) for crystalline CaPrScTl at its relaxed geometry.

## Properties
The calculation puts the formation enthalpy at 0 K at -4 kJ/mol of atoms. Its space-group type is F-43m, No. 216.

Cell: 5.471 5.471 5.471 Å, 60.00 60.00 60.00°
Positions (direct):
Ca1 0.000 0.000 0.000
Pr1 0.250 0.250 0.250
Sc1 0.750 0.750 0.750
Tl1 0.500 0.500 0.500

=====

Record 6
Density functional theory data (PBE-GGA) for crystalline CaPrYSc at its relaxed geometry.

## Properties
The calculation puts the formation enthalpy at 0 K at 13 kJ/mol of atoms. Its space-group type is F-43m, No. 216.

Cell: 5.692 5.692 5.692 Å, 60.00 60.00 60.00°
Positions (direct):
Ca1 0.000 0.000 0.000
Pr1 0.250 0.250 0.250
Y1 0.750 0.750 0.750
Sc1 0.500 0.500 0.500

=====

It is found that the VASP energy values, taken in the order of the records, are -4.581; -4.206; -4.325; -4.876; -3.911; -4.755 eV per atom.